A plane-wave DFT calculation with PBE-GGA was carried out for crystalline LiPaS2 at its relaxed geometry.

Values from the calculation:
The crystal system is trigonal. For the raw formation energy, the calculation gives -0.6898 eV/atom. The value obtained for the energy above the lowest structure with this stoichiometry is 784 meV/atom. The spin magnetization comes out at 1.2 μB per cell. The total energy comes out at -67.3 eV per cell.

Cell lengths 3.8487, 3.8487, 22.9209 Å; angles 90.00, 90.00, 120.00 degrees
Closest atoms and distances in Å follow each position.
Space group R-3m (No. 166, hexagonal axes)
Inequivalent atoms, fractional coordinates:
Li  0.0000  0.0000  0.0000 (multiplicity 3)  6 S 2.62
Pa  0.0000  0.0000  0.5000 (multiplicity 3)  2 S 2.42
S  0.0000  0.0000  0.3943 (multiplicity 6)  1 Pa 2.42, 3 Li 2.62

---

A plane-wave DFT calculation with PBE-GGA was carried out for crystalline LiPaCu2 at its relaxed geometry.

Values from the calculation:
The crystal system is tetragonal. For the formation energy, the calculation gives 62 meV/atom. The value obtained for the energy above the lowest structure with this stoichiometry is 0 meV/atom. The spin magnetization comes out at 0.0 μB per cell. The total energy comes out at -19.4 eV per cell.

Cell lengths 3.0500, 3.0500, 6.8744 Å; angles 90.00, 90.00, 90.00 degrees
Closest atoms and distances in Å follow each position.
Space group P4/mmm (No. 123)
Inequivalent atoms, fractional coordinates:
Li  0.0000  0.0000  0.0000 (multiplicity 1)  8 Cu 2.56
Pa  0.0000  0.0000  0.5000 (multiplicity 1)  8 Cu 2.98, 4 Pa 3.05
Cu  0.5000  0.5000  0.2009 (multiplicity 2)  4 Li 2.56, 1 Cu 2.76

---

A plane-wave DFT calculation with PBE-GGA was carried out for crystalline Pm4ErSc at its relaxed geometry.

Values from the calculation:
The crystal system is orthorhombic. For the formation energy, the calculation gives 362 meV/atom. The value obtained for the energy above the lowest structure with this stoichiometry is 323 meV/atom. The spin magnetization comes out at 0.0 μB per cell. The total energy comes out at -110.9 eV per cell.

Cell lengths 7.9544, 8.5992, 11.6809 Å; angles 90.00, 90.00, 90.00 degrees
Closest atoms and distances in Å follow each position.
Space group Imma (No. 74)
Inequivalent atoms, fractional coordinates:
Pm  0.0000  0.0540  0.2278 (multiplicity 8)  1 Sc 3.21, 2 Er 3.29, 3 Pm 3.34-3.37
Pm  0.2093  0.2500  0.0268 (multiplicity 8)  2 Sc 3.17, 1 Er 3.25, 3 Pm 3.33-3.34
Er  0.2500  0.2500  0.7500 (multiplicity 4)  6 Pm 3.25-3.29
Sc  0.0000  0.0000  0.5000 (multiplicity 4)  6 Pm 3.17-3.21

---

A plane-wave DFT calculation with PBE-GGA was carried out for crystalline FeCo2Si at its relaxed geometry.

Values from the calculation:
The crystal system is tetragonal. For the raw formation energy, the calculation gives -0.2630 eV/atom. The spin magnetization comes out at 8.2 μB per cell. The total energy comes out at -58.3 eV per cell.

Cell lengths 3.5058, 3.5058, 7.1108 Å; angles 90.00, 90.00, 90.00 degrees
Closest atoms and distances in Å follow each position.
Space group I-4m2 (No. 119)
Inequivalent atoms, fractional coordinates:
Fe  0.0000  0.0000  0.0000 (multiplicity 2)  8 Co 2.48-2.50, 4 Si 2.50
Co  0.0000  0.0000  0.5000 (multiplicity 2)  4 Fe 2.48, 4 Co 2.50, 4 Si 2.50
Co  0.0000  0.5000  0.2500 (multiplicity 2)  4 Si 2.48, 4 Fe 2.50, 4 Co 2.50
Si  0.0000  0.5000  0.7500 (multiplicity 2)  8 Co 2.48-2.50, 4 Fe 2.50

---

A plane-wave DFT calculation with PBE-GGA was carried out for crystalline ZnHgSeN2 at its relaxed geometry.

Values from the calculation:
The crystal system is tetragonal. For the raw formation energy, the calculation gives 1.7822 eV/atom. The value obtained for the energy above the lowest structure with this stoichiometry is 420 meV/atom. The spin magnetization comes out at 3.5 μB per cell. The total energy comes out at -12.8 eV per cell.

Cell lengths 4.1777, 4.1777, 6.1576 Å; angles 90.00, 90.00, 90.00 degrees
Closest atoms and distances in Å follow each position.
Space group P4/mmm (No. 123)
Inequivalent atoms, fractional coordinates:
Zn  0.0000  0.0000  0.0000 (multiplicity 1)  4 Se 2.95
Hg  0.5000  0.5000  0.5000 (multiplicity 1)  4 N 2.09
Se  0.5000  0.5000  0.0000 (multiplicity 1)  4 Zn 2.95, 2 Hg 3.08
N  0.0000  0.5000  0.5000 (multiplicity 2)  2 Hg 2.09

---

A plane-wave DFT calculation with PBE-GGA was carried out for crystalline CaPuTlRh at its relaxed geometry.

Values from the calculation:
The crystal system is tetragonal. For the formation energy, the calculation gives -319 meV/atom. The value obtained for the energy above the lowest structure with this stoichiometry is 0 meV/atom. The spin magnetization comes out at 4.9 μB per cell. The total energy comes out at -27.3 eV per cell.

Cell lengths 3.3999, 3.3999, 8.4290 Å; angles 90.00, 90.00, 90.00 degrees
Closest atoms and distances in Å follow each position.
Space group P4mm (No. 99)
Inequivalent atoms, fractional coordinates:
Ca  0.0000  0.0000  0.0000 (multiplicity 1)  4 Rh 3.07, 4 Ca 3.40, 4 Tl 3.43
Pu  0.0000  0.0000  0.5833 (multiplicity 1)  4 Rh 2.89
Tl  0.5000  0.5000  0.2907 (multiplicity 1)  4 Tl 3.40, 4 Ca 3.43, 4 Pu 3.44
Rh  0.5000  0.5000  0.7726 (multiplicity 1)  4 Pu 2.89, 4 Ca 3.07

---

A plane-wave DFT calculation with PBE-GGA was carried out for crystalline Sr2ErS3 at its relaxed geometry.

Values from the calculation:
The crystal system is orthorhombic. For the raw formation energy, the calculation gives -2.0487 eV/atom. The spin magnetization comes out at 0.0 μB per cell. The total energy comes out at -521.6 eV per cell.

Cell lengths 8.2669, 11.6572, 24.6268 Å; angles 90.00, 90.00, 90.00 degrees
Closest atoms and distances in Å follow each position.
Space group Fddd (No. 70, origin choice 2)
Inequivalent atoms, fractional coordinates:
Sr  0.1250  0.1250  0.0434 (multiplicity 16)  6 S 2.94-3.04
Sr  0.1250  0.1250  0.3731 (multiplicity 16)  6 S 2.92-3.01
Er  0.1250  0.1250  0.5415 (multiplicity 16)  6 S 2.79-2.80
S  0.1035  0.3750  0.8750 (multiplicity 16)  2 Er 2.79, 4 Sr 2.92-3.01
S  0.1147  0.3649  0.7121 (multiplicity 32)  2 Er 2.79-2.80, 4 Sr 2.94-3.04

---

A plane-wave DFT calculation with PBE-GGA was carried out for crystalline ReRhN2F at its relaxed geometry.

Values from the calculation:
The crystal system is tetragonal. For the raw formation energy, the calculation gives 0.5089 eV/atom. The value obtained for the energy above the lowest structure with this stoichiometry is 0 meV/atom. The spin magnetization comes out at 1.2 μB per cell. The total energy comes out at -35.8 eV per cell.

Cell lengths 3.9046, 3.9046, 4.0219 Å; angles 90.00, 90.00, 90.00 degrees
Closest atoms and distances in Å follow each position.
Space group P4/mmm (No. 123)
Inequivalent atoms, fractional coordinates:
Re  0.0000  0.0000  0.0000 (multiplicity 1)  4 N 1.95, 2 F 2.01
Rh  0.5000  0.5000  0.5000 (multiplicity 1)  4 F 2.76, 8 N 2.80
N  0.0000  0.5000  0.0000 (multiplicity 2)  2 Re 1.95
F  0.0000  0.0000  0.5000 (multiplicity 1)  2 Re 2.01

---

A plane-wave DFT calculation with PBE-GGA was carried out for crystalline PmErAs2 at its relaxed geometry.

Values from the calculation:
The crystal system is trigonal. For the formation energy, the calculation gives -1353 meV/atom. The value obtained for the energy above the lowest structure with this stoichiometry is 164 meV/atom. The spin magnetization comes out at 0.0 μB per cell. The total energy comes out at -72.1 eV per cell.

Cell lengths 4.1268, 4.1268, 21.2302 Å; angles 90.00, 90.00, 120.00 degrees
Closest atoms and distances in Å follow each position.
Space group R3m (No. 160, hexagonal axes)
Inequivalent atoms, fractional coordinates:
Pm  0.0000  0.0000  0.0000 (multiplicity 3)  6 As 2.96-3.03
Er  0.0000  0.0000  0.1714 (multiplicity 3)  6 As 2.92-2.97
As  0.0000  0.0000  0.4212 (multiplicity 3)  3 Er 2.97, 3 Pm 3.03
As  0.0000  0.0000  0.5841 (multiplicity 3)  3 Er 2.92, 3 Pm 2.96

---

A plane-wave DFT calculation with PBE-GGA was carried out for crystalline Pm4Pr5Mg2 at its relaxed geometry.

Values from the calculation:
The crystal system is monoclinic. For the formation energy, the calculation gives 61 meV/atom. The value obtained for the energy above the lowest structure with this stoichiometry is 11 meV/atom. The spin magnetization comes out at 0.0 μB per cell. The total energy comes out at -45.4 eV per cell.

Cell lengths 8.9144, 3.5410, 11.6708 Å; angles 90.00, 94.31, 90.00 degrees
Closest atoms and distances in Å follow each position.
Space group P2/m (No. 10)
Inequivalent atoms, fractional coordinates:
Pm  0.1504  0.0000  0.3827 (multiplicity 2)  2 Mg 3.48, 2 Pm 3.54, 8 Pr 3.61-3.84
Pm  0.2747  0.0000  0.9511 (multiplicity 2)  4 Mg 3.47-3.50, 2 Pm 3.54, 6 Pr 3.62-3.78
Pr  0.2017  0.5000  0.6664 (multiplicity 2)  1 Mg 3.40, 4 Pr 3.41-3.54, 6 Pm 3.61-3.78
Pr  0.4338  0.5000  0.2017 (multiplicity 2)  1 Mg 3.42, 4 Pr 3.49-3.54, 4 Pm 3.62-3.71
Pr  0.5000  0.5000  0.5000 (multiplicity 1)  6 Pr 3.41-3.54, 4 Pm 3.75
Mg  0.0544  0.5000  0.1315 (multiplicity 2)  1 Mg 3.15, 2 Pr 3.40-3.42, 6 Pm 3.47-3.50